(1)
# GGA-PBE MgMnSe, optimized geometry
# **Distance to the lowest polymorph of the same formula**: 0.08 eV per formula unit
# **Density of states at the Fermi level**: 1.89 states/eV per cell
# **E**: -14.692 eV for the cell shown
# **M_tot**: 3.160 μB/f.u.
data_MgMnSe
_chemical_formula_sum 'Mg1 Mn1 Se1'
_cell_length_a 4.169
_cell_length_b 4.169
_cell_length_c 3.779
_cell_angle_alpha 90.00
_cell_angle_beta 90.00
_cell_angle_gamma 120.00
_space_group_name_H-M_alt 'P 1'
_space_group_IT_number 1
loop_
_space_group_symop_operation_xyz
'x,y,z'
loop_
_atom_site_label
_atom_site_type_symbol
_atom_site_fract_x
_atom_site_fract_y
_atom_site_fract_z
_atom_site_occupancy
Mg1 Mg 0.000 0.000 0.000 1
Mn1 Mn 0.333 0.667 0.500 1
Se1 Se 0.667 0.333 0.500 1

(2)
# GGA-PBE MgMnSe4, optimized geometry
# **Density of states at the Fermi level**: 3.41 states/eV per cell
# **E**: -21.776 eV for the cell shown
# **M_tot**: 4.378 μB/f.u.
data_MgMnSe4
_chemical_formula_sum 'Mg1 Mn1 Se4'
_cell_length_a 5.742
_cell_length_b 5.742
_cell_length_c 5.742
_cell_angle_alpha 60.00
_cell_angle_beta 60.00
_cell_angle_gamma 60.00
_space_group_name_H-M_alt 'P 1'
_space_group_IT_number 1
loop_
_space_group_symop_operation_xyz
'x,y,z'
loop_
_atom_site_label
_atom_site_type_symbol
_atom_site_fract_x
_atom_site_fract_y
_atom_site_fract_z
_atom_site_occupancy
Mg1 Mg 0.000 0.000 0.000 1
Mn1 Mn 0.750 0.750 0.750 1
Se1 Se 0.375 0.375 0.375 1
Se2 Se 0.375 0.375 0.874 1
Se3 Se 0.375 0.874 0.375 1
Se4 Se 0.874 0.375 0.375 1

(3)
# GGA-PBE Mg2Mn2Se, optimized geometry
# **Distance to the lowest polymorph of the same formula**: 0.00 eV per formula unit
# **Density of states at the Fermi level**: 8.89 states/eV per cell
# **E**: -49.070 eV for the cell shown
# **M_tot**: 1.115 μB/f.u.
data_Mg2Mn2Se
_chemical_formula_sum 'Mg4 Mn4 Se2'
_cell_length_a 5.968
_cell_length_b 5.968
_cell_length_c 4.455
_cell_angle_alpha 90.00
_cell_angle_beta 90.00
_cell_angle_gamma 90.00
_space_group_name_H-M_alt 'P 1'
_space_group_IT_number 1
loop_
_space_group_symop_operation_xyz
'x,y,z'
loop_
_atom_site_label
_atom_site_type_symbol
_atom_site_fract_x
_atom_site_fract_y
_atom_site_fract_z
_atom_site_occupancy
Mg1 Mg 0.165 0.335 0.000 1
Mg2 Mg 0.335 0.835 0.000 1
Mg3 Mg 0.665 0.165 0.000 1
Mg4 Mg 0.835 0.665 0.000 1
Mn1 Mn 0.131 0.631 0.500 1
Mn2 Mn 0.369 0.131 0.500 1
Mn3 Mn 0.631 0.869 0.500 1
Mn4 Mn 0.869 0.369 0.500 1
Se1 Se 0.000 0.000 0.500 1
Se2 Se 0.500 0.500 0.500 1

(4)
# GGA-PBE Mg3MnSe, optimized geometry
# **Distance to the lowest polymorph of the same formula**: 0.00 eV per formula unit
# **Density of states at the Fermi level**: 2.74 states/eV per cell
# **E**: -15.804 eV for the cell shown
# **M_tot**: 4.289 μB/f.u.
data_Mg3MnSe
_chemical_formula_sum 'Mg3 Mn1 Se1'
_cell_length_a 5.038
_cell_length_b 5.038
_cell_length_c 5.038
_cell_angle_alpha 90.00
_cell_angle_beta 90.00
_cell_angle_gamma 90.00
_space_group_name_H-M_alt 'P 1'
_space_group_IT_number 1
loop_
_space_group_symop_operation_xyz
'x,y,z'
loop_
_atom_site_label
_atom_site_type_symbol
_atom_site_fract_x
_atom_site_fract_y
_atom_site_fract_z
_atom_site_occupancy
Mg1 Mg 0.000 0.000 0.500 1
Mg2 Mg 0.000 0.500 0.000 1
Mg3 Mg 0.500 0.000 0.000 1
Mn1 Mn 0.500 0.500 0.500 1
Se1 Se 0.000 0.000 0.000 1

(5)
# GGA-PBE Mg2Mn2Se, optimized geometry
# **Distance to the lowest polymorph of the same formula**: 1.60 eV per formula unit
# **Density of states at the Fermi level**: 5.76 states/eV per cell
# **E**: -45.872 eV for the cell shown
# **M_tot**: 7.987 μB/f.u.
data_Mg2Mn2Se
_chemical_formula_sum 'Mg4 Mn4 Se2'
_cell_length_a 3.812
_cell_length_b 3.812
_cell_length_c 13.887
_cell_angle_alpha 90.00
_cell_angle_beta 90.00
_cell_angle_gamma 90.00
_space_group_name_H-M_alt 'P 1'
_space_group_IT_number 1
loop_
_space_group_symop_operation_xyz
'x,y,z'
loop_
_atom_site_label
_atom_site_type_symbol
_atom_site_fract_x
_atom_site_fract_y
_atom_site_fract_z
_atom_site_occupancy
Mg1 Mg 0.000 0.500 0.250 1
Mg2 Mg 0.000 0.500 0.750 1
Mg3 Mg 0.500 0.000 0.250 1
Mg4 Mg 0.500 0.000 0.750 1
Mn1 Mn 0.000 0.000 0.092 1
Mn2 Mn 0.000 0.000 0.908 1
Mn3 Mn 0.500 0.500 0.408 1
Mn4 Mn 0.500 0.500 0.592 1
Se1 Se 0.000 0.000 0.500 1
Se2 Se 0.500 0.500 0.000 1

(6)
# GGA-PBE Mg4MnSe, optimized geometry
# **Density of states at the Fermi level**: 4.39 states/eV per cell
# **E**: -17.304 eV for the cell shown
# **M_tot**: 4.096 μB/f.u.
data_Mg4MnSe
_chemical_formula_sum 'Mg4 Mn1 Se1'
_cell_length_a 5.732
_cell_length_b 5.732
_cell_length_c 5.732
_cell_angle_alpha 60.00
_cell_angle_beta 60.00
_cell_angle_gamma 60.00
_space_group_name_H-M_alt 'P 1'
_space_group_IT_number 1
loop_
_space_group_symop_operation_xyz
'x,y,z'
loop_
_atom_site_label
_atom_site_type_symbol
_atom_site_fract_x
_atom_site_fract_y
_atom_site_fract_z
_atom_site_occupancy
Mg1 Mg 0.125 0.125 0.125 1
Mg2 Mg 0.125 0.125 0.626 1
Mg3 Mg 0.125 0.626 0.125 1
Mg4 Mg 0.626 0.125 0.125 1
Mn1 Mn 0.750 0.750 0.750 1
Se1 Se 0.500 0.500 0.500 1

- E of number 4 (Mg3MnSe)?
  -15.804 eV for the cell shown